CdPtSe2N (PBE, optimized geometry); excess energy over the best structure of this formula in the dataset = 0 meV/atom; total magnetic moment = 0.00 Bohr magnetons per cell; space-group type = P4/mmm; formation energy from raw total energies = 0.4023 eV per atom
1.0
5.319 0.000 0.000
0.000 5.319 0.000
0.000 0.000 3.674
Cd Pt Se N
1 1 2 1
direct
0.000 0.000 0.000 Cd
0.500 0.500 0.500 Pt
0.000 0.500 0.500 Se
0.500 0.000 0.500 Se
0.500 0.500 0.000 N